A plane-wave DFT calculation with PBE-GGA was carried out for an optimized crystal structure of Y5Mg8Cu5. Values from VASP.

Cell and atoms, written as Quantum ESPRESSO input:
```
&SYSTEM
  ibrav = 0, nat = 36, ntyp = 3
/
ATOMIC_SPECIES
Cu 63.55 Cu.upf
Mg 24.30 Mg.upf
Y 88.91 Y.upf
CELL_PARAMETERS angstrom
3.924 0.000 0.000
0.000 7.524 0.000
0.000 0.000 26.561
ATOMIC_POSITIONS crystal
Cu 0.000 0.785 0.411
Cu 0.000 0.215 0.911
Mg 0.500 0.301 0.523
Y 0.500 0.573 0.149
Mg 0.000 0.000 0.500
Mg 0.000 0.596 0.561
Mg 0.000 0.094 0.690
Mg 0.000 0.000 0.000
Mg 0.000 0.596 0.939
Cu 0.500 0.782 0.250
Cu 0.000 0.215 0.589
Mg 0.000 0.461 0.750
Cu 0.000 0.283 0.167
Y 0.500 0.427 0.649
Y 0.500 0.077 0.395
Mg 0.500 0.699 0.023
Y 0.500 0.801 0.750
Mg 0.000 0.404 0.439
Y 0.500 0.077 0.105
Y 0.500 0.573 0.351
Cu 0.000 0.717 0.833
Mg 0.000 0.906 0.310
Y 0.500 0.923 0.895
Mg 0.000 0.094 0.810
Cu 0.000 0.283 0.333
Mg 0.000 0.539 0.250
Mg 0.000 0.404 0.061
Mg 0.500 0.699 0.477
Cu 0.500 0.218 0.750
Cu 0.000 0.785 0.089
Y 0.500 0.199 0.250
Y 0.500 0.427 0.851
Mg 0.500 0.301 0.977
Cu 0.000 0.717 0.667
Mg 0.000 0.906 0.190
Y 0.500 0.923 0.605
```

Total energy = -3.837 eV/atom
SG = Pmma, No. 51

A plane-wave DFT calculation with PBE-GGA was carried out for an optimized crystal structure of Y4MgCu2. Values from VASP.

Cell and atoms, written as Quantum ESPRESSO input:
```
&SYSTEM
  ibrav = 0, nat = 7, ntyp = 3
/
ATOMIC_SPECIES
Mg 24.30 Mg.upf
Y 88.91 Y.upf
Cu 63.55 Cu.upf
CELL_PARAMETERS angstrom
-5.050 5.050 2.178
5.050 -5.050 2.178
5.050 5.050 -2.178
ATOMIC_POSITIONS crystal
Mg 0.000 0.000 0.000
Y 0.500 0.757 0.257
Cu 0.750 0.250 0.500
Y 0.757 0.500 0.257
Cu 0.250 0.750 0.500
Y 0.500 0.243 0.743
Y 0.243 0.500 0.743
```

Total energy = -4.783 eV/atom
SG = I4/mmm, No. 139

A plane-wave DFT calculation with PBE-GGA was carried out for an optimized crystal structure of YMg3Cu8. Values from VASP.

Cell and atoms, written as Quantum ESPRESSO input:
```
&SYSTEM
  ibrav = 0, nat = 12, ntyp = 3
/
ATOMIC_SPECIES
Cu 63.55 Cu.upf
Mg 24.30 Mg.upf
Y 88.91 Y.upf
CELL_PARAMETERS angstrom
-2.830 -1.517 3.890
1.727 -3.547 3.143
3.021 4.172 7.095
ATOMIC_POSITIONS crystal
Cu 0.937 0.937 0.690
Cu 0.939 0.440 0.182
Cu 0.187 0.187 0.439
Mg 0.373 0.373 0.881
Mg 0.005 0.005 0.986
Y 0.876 0.876 0.372
Cu 0.937 0.435 0.690
Cu 0.688 0.688 0.936
Cu 0.435 0.937 0.690
Mg 0.493 0.493 0.521
Cu 0.440 0.939 0.182
Cu 0.440 0.440 0.182
```

Total energy = -3.847 eV/atom
SG = R3m, No. 160

A plane-wave DFT calculation with PBE-GGA was carried out for an optimized crystal structure of Y3Mg3Cu. Values from VASP.

Cell and atoms, written as Quantum ESPRESSO input:
```
&SYSTEM
  ibrav = 0, nat = 14, ntyp = 3
/
ATOMIC_SPECIES
Y 88.91 Y.upf
Mg 24.30 Mg.upf
Cu 63.55 Cu.upf
CELL_PARAMETERS angstrom
8.898 -0.001 0.000
-4.450 7.706 0.000
0.000 0.000 5.096
ATOMIC_POSITIONS crystal
Y 0.469 0.368 0.750
Y 0.368 0.899 0.250
Y 0.531 0.632 0.250
Mg 0.052 0.233 0.750
Cu 0.333 0.667 0.750
Mg 0.767 0.819 0.750
Mg 0.181 0.948 0.750
Mg 0.819 0.052 0.250
Y 0.101 0.469 0.250
Y 0.632 0.101 0.750
Y 0.899 0.531 0.750
Mg 0.948 0.767 0.250
Mg 0.233 0.181 0.250
Cu 0.667 0.333 0.250
```

Total energy = -4.017 eV/atom
SG = P6_3/m, No. 176

| no. | formation energy (eV per atom) |
| --- | --- |
| 1 | -0.19 |
| 2 | 0.31 |
| 3 | -0.18 |
| 4 | 0.02 |